(1)
# Pm3Pr2Er6Tm, optimized geometry, DFT GGA-PBE
data_Pm3Pr2Er6Tm
_chemical_formula_sum 'Pm6 Pr4 Er12 Tm2'
_space_group_name_H-M_alt 'C 1 2/m 1'
_space_group_IT_number 12
_cell_length_a 6.201
_cell_length_b 10.738
_cell_length_c 11.779
_cell_angle_alpha 90.00
_cell_angle_beta 100.07
_cell_angle_gamma 90.00
loop_
_space_group_symop_operation_xyz
'x,y,z'
'-x,-y,-z'
'-x,y,-z'
'x,-y,z'
'x+1/2,y+1/2,z'
'-x+1/2,-y+1/2,-z'
'-x+1/2,y+1/2,-z'
'x+1/2,-y+1/2,z'
loop_
_atom_site_label
_atom_site_fract_x
_atom_site_fract_y
_atom_site_fract_z
Pm1 0.000 0.000 0.000
Pm2 0.000 0.333 0.000
Pr1 0.000 0.166 0.500
Er1 0.249 0.500 0.250
Er2 0.250 0.166 0.250
Tm1 0.000 0.500 0.500
# crystal system = monoclinic
# DFT total energy = -4.62 eV/atom
# formation energy = 0.016 eV per atom


(2)
# Pm3PrEr6Tm2, optimized geometry, DFT GGA-PBE
data_Pm3PrEr6Tm2
_chemical_formula_sum 'Pm6 Pr2 Er12 Tm4'
_space_group_name_H-M_alt 'C 1 2/m 1'
_space_group_IT_number 12
_cell_length_a 6.164
_cell_length_b 10.670
_cell_length_c 11.752
_cell_angle_alpha 90.00
_cell_angle_beta 100.04
_cell_angle_gamma 90.00
loop_
_space_group_symop_operation_xyz
'x,y,z'
'-x,-y,-z'
'-x,y,-z'
'x,-y,z'
'x+1/2,y+1/2,z'
'-x+1/2,-y+1/2,-z'
'-x+1/2,y+1/2,-z'
'x+1/2,-y+1/2,z'
loop_
_atom_site_label
_atom_site_fract_x
_atom_site_fract_y
_atom_site_fract_z
Pm1 0.000 0.000 0.000
Pm2 0.000 0.333 0.000
Pr1 0.000 0.500 0.500
Er1 0.249 0.000 0.748
Er2 0.250 0.167 0.252
Tm1 0.000 0.167 0.500
# crystal system = monoclinic
# DFT total energy = -4.59 eV/atom
# formation energy = 0.020 eV per atom


(3)
# PmPrErTm2, optimized geometry, DFT GGA-PBE
data_PmPrErTm2
_chemical_formula_sum 'Pm4 Pr4 Er4 Tm8'
_space_group_name_H-M_alt 'C m c m'
_space_group_IT_number 63
_space_group_name_Hall '-C 2c 2'
_cell_length_a 6.392
_cell_length_b 16.675
_cell_length_c 6.386
_cell_angle_alpha 90.00
_cell_angle_beta 90.00
_cell_angle_gamma 90.00
loop_
_atom_site_label
_atom_site_fract_x
_atom_site_fract_y
_atom_site_fract_z
Pm1 0.000 0.156 0.250
Pr1 0.000 0.342 0.250
Er1 0.000 0.261 0.750
Tm1 0.248 0.500 0.000
# crystal system = orthorhombic
# DFT total energy = -4.26 eV/atom
# formation energy = 0.349 eV per atom


(4)
# PmPr2Er6Tm3, optimized geometry, DFT GGA-PBE
data_PmPr2Er6Tm3
_chemical_formula_sum 'Pm2 Pr4 Er12 Tm6'
_space_group_name_H-M_alt 'C 1 2/m 1'
_space_group_IT_number 12
_cell_length_a 6.155
_cell_length_b 10.653
_cell_length_c 11.726
_cell_angle_alpha 90.00
_cell_angle_beta 100.06
_cell_angle_gamma 90.00
loop_
_space_group_symop_operation_xyz
'x,y,z'
'-x,-y,-z'
'-x,y,-z'
'x,-y,z'
'x+1/2,y+1/2,z'
'-x+1/2,-y+1/2,-z'
'-x+1/2,y+1/2,-z'
'x+1/2,-y+1/2,z'
loop_
_atom_site_label
_atom_site_fract_x
_atom_site_fract_y
_atom_site_fract_z
Pm1 0.000 0.000 0.000
Pr1 0.000 0.333 0.000
Er1 0.248 0.000 0.745
Er2 0.248 0.333 0.745
Tm1 0.000 0.167 0.500
Tm2 0.000 0.500 0.500
# crystal system = monoclinic
# DFT total energy = -4.57 eV/atom
# formation energy = 0.025 eV per atom


(5)
# PmPr2ErTm, optimized geometry, DFT GGA-PBE
data_PmPr2ErTm
_chemical_formula_sum 'Pm4 Pr8 Er4 Tm4'
_space_group_name_H-M_alt 'C m c m'
_space_group_IT_number 63
_space_group_name_Hall '-C 2c 2'
_cell_length_a 8.431
_cell_length_b 11.605
_cell_length_c 7.322
_cell_angle_alpha 90.00
_cell_angle_beta 90.00
_cell_angle_gamma 90.00
loop_
_atom_site_label
_atom_site_fract_x
_atom_site_fract_y
_atom_site_fract_z
Pm1 0.000 0.025 0.250
Pr1 0.192 0.500 0.000
Er1 0.000 0.262 0.750
Tm1 0.000 0.287 0.250
# crystal system = orthorhombic
# DFT total energy = -4.23 eV/atom
# formation energy = 0.443 eV per atom


(6)
# Pm2PrYEr2, optimized geometry, DFT GGA-PBE
data_Pm2PrYEr2
_chemical_formula_sum 'Pm4 Pr2 Y2 Er4'
_space_group_name_H-M_alt 'P n n m'
_space_group_IT_number 58
_cell_length_a 7.054
_cell_length_b 9.876
_cell_length_c 5.671
_cell_angle_alpha 90.00
_cell_angle_beta 90.00
_cell_angle_gamma 90.00
loop_
_space_group_symop_operation_xyz
'x,y,z'
'-x,-y,-z'
'-x,-y,z'
'x,y,-z'
'x+1/2,-y+1/2,-z+1/2'
'-x+1/2,y+1/2,z+1/2'
'-x+1/2,y+1/2,-z+1/2'
'x+1/2,-y+1/2,z+1/2'
loop_
_atom_site_label
_atom_site_fract_x
_atom_site_fract_y
_atom_site_fract_z
Pm1 0.247 0.166 0.000
Pr1 0.000 0.500 0.000
Y1 0.000 0.000 0.500
Er1 0.250 0.333 0.500
# crystal system = orthorhombic
# DFT total energy = -4.92 eV/atom
# formation energy = 0.062 eV per atom


(7)
# PmPrY3Er, optimized geometry, DFT GGA-PBE
data_PmPrY3Er
_chemical_formula_sum 'Pm4 Pr4 Y12 Er4'
_space_group_name_H-M_alt 'C m c m'
_space_group_IT_number 63
_space_group_name_Hall '-C 2c 2'
_cell_length_a 5.091
_cell_length_b 15.272
_cell_length_c 10.181
_cell_angle_alpha 90.00
_cell_angle_beta 90.00
_cell_angle_gamma 90.00
loop_
_atom_site_label
_atom_site_fract_x
_atom_site_fract_y
_atom_site_fract_z
Pm1 0.000 0.001 0.250
Pr1 0.000 0.500 0.000
Y1 0.000 0.168 0.000
Y2 0.000 0.332 0.250
Er1 0.000 0.332 0.750
# crystal system = orthorhombic
# DFT total energy = -5.56 eV/atom
# formation energy = 0.022 eV per atom


(8)
# Pm3Pr6Y2Er, optimized geometry, DFT GGA-PBE
data_Pm3Pr6Y2Er
_chemical_formula_sum 'Pm6 Pr12 Y4 Er2'
_space_group_name_H-M_alt 'C 1 2/m 1'
_space_group_IT_number 12
_cell_length_a 6.356
_cell_length_b 11.013
_cell_length_c 12.031
_cell_angle_alpha 90.00
_cell_angle_beta 100.12
_cell_angle_gamma 90.00
loop_
_space_group_symop_operation_xyz
'x,y,z'
'-x,-y,-z'
'-x,y,-z'
'x,-y,z'
'x+1/2,y+1/2,z'
'-x+1/2,-y+1/2,-z'
'-x+1/2,y+1/2,-z'
'x+1/2,-y+1/2,z'
loop_
_atom_site_label
_atom_site_fract_x
_atom_site_fract_y
_atom_site_fract_z
Pm1 0.000 0.000 0.000
Pm2 0.000 0.333 0.000
Pr1 0.249 0.334 0.747
Pr2 0.250 0.000 0.747
Y1 0.000 0.167 0.500
Er1 0.000 0.500 0.500
# crystal system = monoclinic
# DFT total energy = -5.02 eV/atom
# formation energy = 0.011 eV per atom